Entry 1:
# NaSrSnCl5

NaSrSnCl5 after structural relaxation (GGA-PBE, Alexandria).

CIF file:
```
data_NaSrSnCl5
_chemical_formula_sum 'Na2 Sr2 Sn2 Cl10'
_cell_length_a 8.2714
_cell_length_b 8.2714
_cell_length_c 11.1503
_cell_angle_alpha 110.75
_cell_angle_beta 110.75
_cell_angle_gamma 108.50
_space_group_name_H-M_alt 'P 1'
_space_group_IT_number 1
loop_
_space_group_symop_operation_xyz
'x,y,z'
loop_
_atom_site_label
_atom_site_fract_x
_atom_site_fract_y
_atom_site_fract_z
Na1 0.2488 0.7512 0.2500
Na2 0.7512 0.2488 0.7500
Sr1 0.0000 0.0000 0.5000
Sr2 0.0000 0.0000 0.0000
Sn1 0.7621 0.2379 0.2500
Sn2 0.2379 0.7621 0.7500
Cl1 0.0483 0.9517 0.2500
Cl2 0.9517 0.0483 0.7500
Cl3 0.9681 0.3616 0.1070
Cl4 0.0319 0.6384 0.8930
Cl5 0.6384 0.0319 0.3930
Cl6 0.3616 0.9681 0.6070
Cl7 0.8209 0.5858 0.4338
Cl8 0.1791 0.4142 0.5662
Cl9 0.4142 0.1791 0.0662
Cl10 0.5858 0.8209 0.9338
```

Calculated values
Calculated volume: 36.0 A^3/atom
Space-group type: No. 15
Electronic total energy: -0.2742 Ry per atom
ρ: 2.3 g/cm3
Total moment: 0.000 μB per atom

Entry 2:
# Na2SrSnCl6

Na2SrSnCl6 after structural relaxation (GGA-PBE, Alexandria).

CIF file:
```
data_Na2SrSnCl6
_chemical_formula_sum 'Na2 Sr1 Sn1 Cl6'
_cell_length_a 7.2513
_cell_length_b 7.2513
_cell_length_c 7.6805
_cell_angle_alpha 61.82
_cell_angle_beta 61.82
_cell_angle_gamma 59.98
_space_group_name_H-M_alt 'P 1'
_space_group_IT_number 1
loop_
_space_group_symop_operation_xyz
'x,y,z'
loop_
_atom_site_label
_atom_site_fract_x
_atom_site_fract_y
_atom_site_fract_z
Na1 0.5190 0.5190 0.4430
Na2 0.0155 0.0156 0.9533
Sr1 0.8150 0.8151 0.5547
Sn1 0.3177 0.3177 0.0469
Cl1 0.6201 0.2225 0.2502
Cl2 0.2224 0.9072 0.2501
Cl3 0.9073 0.6202 0.2502
Cl4 0.4059 0.7158 0.7555
Cl5 0.7159 0.1226 0.7556
Cl6 0.1226 0.4060 0.7556
```

Calculated values
Calculated volume: 29.3 A^3/atom
Space-group type: No. 146
Electronic total energy: -0.2716 Ry per atom
ρ: 2.6 g/cm3
Total moment: 0.000 μB per atom

Entry 3:
# Na2SrSnCl

Na2SrSnCl after structural relaxation (GGA-PBE, Alexandria).

CIF file:
```
data_Na2SrSnCl
_chemical_formula_sum 'Na2 Sr1 Sn1 Cl1'
_cell_length_a 5.1712
_cell_length_b 5.8839
_cell_length_c 5.1712
_cell_angle_alpha 90.00
_cell_angle_beta 90.00
_cell_angle_gamma 90.00
_space_group_name_H-M_alt 'P 1'
_space_group_IT_number 1
loop_
_space_group_symop_operation_xyz
'x,y,z'
loop_
_atom_site_label
_atom_site_fract_x
_atom_site_fract_y
_atom_site_fract_z
Sr1 0.0000 0.5000 0.0000
Na1 0.0000 0.0000 0.5000
Na2 0.5000 0.0000 0.0000
Sn1 0.5000 0.5000 0.5000
Cl1 0.0000 0.0000 0.0000
```

Calculated values
Calculated volume: 31.5 A^3/atom
Space-group type: No. 123
Electronic total energy: -0.2072 Ry per atom
ρ: 3.0 g/cm3
Total moment: 0.028 μB per atom

Entry 4:
# NaTbSn2Cl8

NaTbSn2Cl8 after structural relaxation (GGA-PBE, Alexandria).

CIF file:
```
data_NaTbSn2Cl8
_chemical_formula_sum 'Na1 Tb1 Sn2 Cl8'
_cell_length_a 6.7499
_cell_length_b 6.4935
_cell_length_c 8.4243
_cell_angle_alpha 90.01
_cell_angle_beta 90.03
_cell_angle_gamma 88.79
_space_group_name_H-M_alt 'P 1'
_space_group_IT_number 1
loop_
_space_group_symop_operation_xyz
'x,y,z'
loop_
_atom_site_label
_atom_site_fract_x
_atom_site_fract_y
_atom_site_fract_z
Na1 0.0000 0.0000 0.5000
Tb1 0.0000 0.0000 0.0000
Sn1 0.5005 0.5003 0.7444
Sn2 0.4995 0.4997 0.2556
Cl1 0.1598 0.7767 0.2367
Cl2 0.6861 0.7573 0.9992
Cl3 0.8393 0.2224 0.2367
Cl4 0.8402 0.2233 0.7633
Cl5 0.3139 0.2427 0.0008
Cl6 0.1607 0.7776 0.7633
Cl7 0.6623 0.7186 0.5006
Cl8 0.3377 0.2814 0.4994
```

Calculated values
Calculated volume: 30.8 A^3/atom
Space-group type: No. 2
Electronic total energy: -0.2903 Ry per atom
ρ: 3.2 g/cm3
Total moment: 0.000 μB per atom

Entry 5:
# NaTbSnCl6

NaTbSnCl6 after structural relaxation (GGA-PBE, Alexandria).

CIF file:
```
data_NaTbSnCl6
_chemical_formula_sum 'Na2 Tb2 Sn2 Cl12'
_cell_length_a 7.0070
_cell_length_b 7.0070
_cell_length_c 12.3768
_cell_angle_alpha 90.00
_cell_angle_beta 90.00
_cell_angle_gamma 120.00
_space_group_name_H-M_alt 'P 1'
_space_group_IT_number 1
loop_
_space_group_symop_operation_xyz
'x,y,z'
loop_
_atom_site_label
_atom_site_fract_x
_atom_site_fract_y
_atom_site_fract_z
Na1 0.3333 0.6667 0.2500
Na2 0.6667 0.3333 0.7500
Tb1 0.6667 0.3333 0.2500
Tb2 0.3333 0.6667 0.7500
Sn1 0.0000 0.0000 0.0000
Sn2 0.0000 0.0000 0.5000
Cl1 0.6650 0.6475 0.1286
Cl2 0.9826 0.3350 0.1286
Cl3 0.3350 0.9826 0.6286
Cl4 0.0174 0.6650 0.8714
Cl5 0.3525 0.3350 0.3714
Cl6 0.9826 0.6475 0.3714
Cl7 0.6475 0.9826 0.8714
Cl8 0.6650 0.0174 0.3714
Cl9 0.0174 0.3525 0.6286
Cl10 0.3525 0.0174 0.1286
Cl11 0.6475 0.6650 0.6286
Cl12 0.3350 0.3525 0.8714
```

Calculated values
Calculated volume: 29.2 A^3/atom
Space-group type: No. 163
Electronic total energy: -0.3000 Ry per atom
ρ: 3.2 g/cm3
Total moment: 0.000 μB per atom

Entry 6:
# NaTiSnCl6

NaTiSnCl6 after structural relaxation (GGA-PBE, Alexandria).

CIF file:
```
data_NaTiSnCl6
_chemical_formula_sum 'Na2 Ti2 Sn2 Cl12'
_cell_length_a 6.7863
_cell_length_b 6.7863
_cell_length_c 11.9585
_cell_angle_alpha 90.00
_cell_angle_beta 90.00
_cell_angle_gamma 120.00
_space_group_name_H-M_alt 'P 1'
_space_group_IT_number 1
loop_
_space_group_symop_operation_xyz
'x,y,z'
loop_
_atom_site_label
_atom_site_fract_x
_atom_site_fract_y
_atom_site_fract_z
Na1 0.3333 0.6667 0.2500
Na2 0.6667 0.3333 0.7500
Ti1 0.6667 0.3333 0.2500
Ti2 0.3333 0.6667 0.7500
Sn1 0.0000 0.0000 0.0000
Sn2 0.0000 0.0000 0.5000
Cl1 0.6645 0.6258 0.1320
Cl2 0.9613 0.3355 0.1320
Cl3 0.3355 0.9613 0.6320
Cl4 0.0387 0.6645 0.8680
Cl5 0.3742 0.3355 0.3680
Cl6 0.9613 0.6258 0.3680
Cl7 0.6258 0.9613 0.8680
Cl8 0.6645 0.0387 0.3680
Cl9 0.0387 0.3742 0.6320
Cl10 0.3742 0.0387 0.1320
Cl11 0.6258 0.6645 0.6320
Cl12 0.3355 0.3742 0.8680
```

Calculated values
Calculated volume: 26.5 A^3/atom
Space-group type: No. 163
Electronic total energy: -0.3019 Ry per atom
ρ: 2.8 g/cm3
Total moment: 0.111 μB per atom

Entry 7:
# NaTlSn2Cl6

NaTlSn2Cl6 after structural relaxation (GGA-PBE, Alexandria).

CIF file:
```
data_NaTlSn2Cl6
_chemical_formula_sum 'Na1 Tl1 Sn2 Cl6'
_cell_length_a 7.9325
_cell_length_b 7.8604
_cell_length_c 8.2013
_cell_angle_alpha 56.96
_cell_angle_beta 58.63
_cell_angle_gamma 54.33
_space_group_name_H-M_alt 'P 1'
_space_group_IT_number 1
loop_
_space_group_symop_operation_xyz
'x,y,z'
loop_
_atom_site_label
_atom_site_fract_x
_atom_site_fract_y
_atom_site_fract_z
Na1 0.3179 0.3063 0.0523
Tl1 0.7773 0.8146 0.6003
Sn1 0.4915 0.5450 0.4553
Sn2 0.9822 0.0090 0.9740
Cl1 0.6174 0.2251 0.2116
Cl2 0.2127 0.9234 0.2669
Cl3 0.9469 0.6336 0.2314
Cl4 0.3825 0.7106 0.7163
Cl5 0.7339 0.1063 0.7874
Cl6 0.1992 0.3878 0.7198
```

Calculated values
Calculated volume: 33.2 A^3/atom
Space-group type: No. 1
Electronic total energy: -0.2535 Ry per atom
ρ: 3.4 g/cm3
Total moment: 0.000 μB per atom

Entry 8:
# NaTlSnCl4

NaTlSnCl4 after structural relaxation (GGA-PBE, Alexandria).

CIF file:
```
data_NaTlSnCl4
_chemical_formula_sum 'Na2 Tl2 Sn2 Cl8'
_cell_length_a 8.2580
_cell_length_b 7.1195
_cell_length_c 9.2186
_cell_angle_alpha 90.00
_cell_angle_beta 114.39
_cell_angle_gamma 90.00
_space_group_name_H-M_alt 'P 1'
_space_group_IT_number 1
loop_
_space_group_symop_operation_xyz
'x,y,z'
loop_
_atom_site_label
_atom_site_fract_x
_atom_site_fract_y
_atom_site_fract_z
Na1 0.2787 0.7500 0.3120
Na2 0.7213 0.2500 0.6880
Tl1 0.6951 0.7500 0.9890
Tl2 0.3049 0.2500 0.0110
Sn1 0.8092 0.7500 0.4971
Sn2 0.1908 0.2500 0.5029
Cl1 0.9803 0.4986 0.7032
Cl2 0.0197 0.9986 0.2968
Cl3 0.0197 0.5014 0.2968
Cl4 0.9803 0.0014 0.7032
Cl5 0.4201 0.7500 0.1041
Cl6 0.5799 0.2500 0.8959
Cl7 0.5578 0.7500 0.6030
Cl8 0.4422 0.2500 0.3970
```

Calculated values
Calculated volume: 35.3 A^3/atom
Space-group type: No. 11
Electronic total energy: -0.2454 Ry per atom
ρ: 3.3 g/cm3
Total moment: 0.000 μB per atom

Q: The highest ρ belongs to which entry?
A: NaTlSn2Cl6

Please write out number 7 again, unchanged.
# NaTlSn2Cl6

NaTlSn2Cl6 after structural relaxation (GGA-PBE, Alexandria).

CIF file:
```
data_NaTlSn2Cl6
_chemical_formula_sum 'Na1 Tl1 Sn2 Cl6'
_cell_length_a 7.9325
_cell_length_b 7.8604
_cell_length_c 8.2013
_cell_angle_alpha 56.96
_cell_angle_beta 58.63
_cell_angle_gamma 54.33
_space_group_name_H-M_alt 'P 1'
_space_group_IT_number 1
loop_
_space_group_symop_operation_xyz
'x,y,z'
loop_
_atom_site_label
_atom_site_fract_x
_atom_site_fract_y
_atom_site_fract_z
Na1 0.3179 0.3063 0.0523
Tl1 0.7773 0.8146 0.6003
Sn1 0.4915 0.5450 0.4553
Sn2 0.9822 0.0090 0.9740
Cl1 0.6174 0.2251 0.2116
Cl2 0.2127 0.9234 0.2669
Cl3 0.9469 0.6336 0.2314
Cl4 0.3825 0.7106 0.7163
Cl5 0.7339 0.1063 0.7874
Cl6 0.1992 0.3878 0.7198
```

Calculated values
Calculated volume: 33.2 A^3/atom
Space-group type: No. 1
Electronic total energy: -0.2535 Ry per atom
ρ: 3.4 g/cm3
Total moment: 0.000 μB per atom

Please write out number 3 again, unchanged.
# Na2SrSnCl

Na2SrSnCl after structural relaxation (GGA-PBE, Alexandria).

CIF file:
```
data_Na2SrSnCl
_chemical_formula_sum 'Na2 Sr1 Sn1 Cl1'
_cell_length_a 5.1712
_cell_length_b 5.8839
_cell_length_c 5.1712
_cell_angle_alpha 90.00
_cell_angle_beta 90.00
_cell_angle_gamma 90.00
_space_group_name_H-M_alt 'P 1'
_space_group_IT_number 1
loop_
_space_group_symop_operation_xyz
'x,y,z'
loop_
_atom_site_label
_atom_site_fract_x
_atom_site_fract_y
_atom_site_fract_z
Sr1 0.0000 0.5000 0.0000
Na1 0.0000 0.0000 0.5000
Na2 0.5000 0.0000 0.0000
Sn1 0.5000 0.5000 0.5000
Cl1 0.0000 0.0000 0.0000
```

Calculated values
Calculated volume: 31.5 A^3/atom
Space-group type: No. 123
Electronic total energy: -0.2072 Ry per atom
ρ: 3.0 g/cm3
Total moment: 0.028 μB per atom

Q: Look up the calculated volume of the sixth one.
A: 26.5 A^3/atom